! PBE KSb2WI, relaxed; values from VASP
&SYSTEM
  ibrav = 0, nat = 5, ntyp = 4
/
ATOMIC_SPECIES
K 39.10 K.upf
Sb 121.76 Sb.upf
W 183.84 W.upf
I 126.90 I.upf
ATOMIC_POSITIONS crystal
K 0.000 0.000 0.000
Sb 0.000 0.500 0.000
Sb 0.500 0.000 0.000
W 0.500 0.500 0.500
I 0.000 0.000 0.500
CELL_PARAMETERS angstrom
5.657 0.000 0.000
0.000 5.657 0.000
0.000 0.000 5.676
! energy = -11.91 eV/f.u.
! energy relative to the lowest polymorph listed for this composition = 2226 meV per atom
! uncorrected formation energy = 2388 meV/atom
! SG = P4/mmm